# VCrInF6, relaxed, DFT GGA+U
data_VCrInF6
_cell_length_a 5.4764
_cell_length_b 5.4854
_cell_length_c 5.9379
_cell_angle_alpha 89.69
_cell_angle_beta 89.81
_cell_angle_gamma 60.16
_space_group_name_H-M_alt 'P 1'
_space_group_IT_number 1
loop_
_space_group_symop_operation_xyz
'x,y,z'
loop_
_atom_site_label
_atom_site_type_symbol
_atom_site_fract_x
_atom_site_fract_y
_atom_site_fract_z
V1 V 0.0000 0.0000 0.0000
Cr1 Cr 0.3331 0.3343 0.0000
In1 In 0.6667 0.6668 0.5000
F1 F 0.0464 0.3084 0.1816
F2 F 0.0478 0.6455 0.8181
F3 F 0.3084 0.0492 0.8182
F4 F 0.3083 0.6438 0.1821
F5 F 0.6436 0.0474 0.1816
F6 F 0.6447 0.3106 0.8185
# - Total moment: 6.00 Bohr magnetons per cell
# - E_tot: -5.704 eV/atom
# - ρ: 3.56 g/cm³